(1)
A plane-wave DFT calculation with PBE-GGA was carried out for a relaxed Y2Ta4Si3C3 crystal.

It has space group C2/c (No. 15), with a = 9.6995 Å, b = 5.5842 Å, c = 13.9228 Å, α = 90.00°, β = 104.19° and γ = 90.00°. The inequivalent atoms are Y at (0.0392, 0.0809, 0.3830), Ta at (0.1130, 0.4054, 0.5847), Ta at (0.2254, 0.4219, 0.9152), Si at (0.0000, 0.4289, 0.7500), Si at (0.2427, 0.1553, 0.7517), C at (0.0865, 0.2591, 0.0000) and C at (0.2500, 0.2500, 0.5000).

Its total DFT energy (no corrections) is -9.27 eV/atom.

=====

(2)
A plane-wave DFT calculation with PBE-GGA was carried out for a relaxed Nd2HoMg3TlGa2 crystal.

It has space group Amm2 (No. 38), with a = 4.6152 Å, b = 12.8301 Å, c = 7.4971 Å, α = 90.00°, β = 90.00° and γ = 90.00°. The inequivalent atoms are Nd at (0.0000, 0.2181, 0.0000), Ho at (0.0000, 0.0000, 0.6538), Mg at (0.5000, 0.0000, 0.9693), Mg at (0.5000, 0.1239, 0.3445), Tl at (0.0000, 0.0000, 0.2253) and Ga at (0.5000, 0.1633, 0.7181).

Its total DFT energy (no corrections) is -3.46 eV/atom.

=====

(3)
A plane-wave DFT calculation with PBE-GGA was carried out for a relaxed NbAg crystal.

It has space group Fm-3m (No. 225), with a = 5.4412 Å, b = 5.4412 Å, c = 5.4412 Å, α = 90.00°, β = 90.00° and γ = 90.00°. The inequivalent atoms are Nb at (0.0000, 0.0000, 0.0000) and Ag at (0.0000, 0.0000, 0.5000).

The formation energy from the elements is 115 kJ per mole of atoms.

=====

(4)
A plane-wave DFT calculation with PBE-GGA was carried out for a relaxed Lu4Ta2Zn3N3 crystal.

It has space group C2/c (No. 15), with a = 9.8824 Å, b = 5.7333 Å, c = 14.2196 Å, α = 90.00°, β = 103.78° and γ = 90.00°. The inequivalent atoms are Lu at (0.1168, 0.0774, 0.1001), Lu at (0.2130, 0.0891, 0.3999), Ta at (0.0606, 0.4137, 0.9263), Zn at (0.0000, 0.1557, 0.7500), Zn at (0.1295, 0.4567, 0.2487), N at (0.0822, 0.2526, 0.4998) and N at (0.2500, 0.2500, 0.0000).

Its total DFT energy (no corrections) is -6.77 eV/atom.

=====

(5)
A plane-wave DFT calculation with PBE-GGA was carried out for a relaxed NdTlCdS3 crystal.

It has space group Pnma (No. 62), with a = 11.8970 Å, b = 4.2776 Å, c = 12.2726 Å, α = 90.00°, β = 90.00° and γ = 90.00°. The inequivalent atoms are Nd at (0.0261, 0.2500, 0.1670), Tl at (0.1541, 0.2500, 0.5119), Cd at (0.2492, 0.7500, 0.3011), S at (0.0369, 0.7500, 0.3259), S at (0.0948, 0.2500, 0.9393) and S at (0.2310, 0.7500, 0.6850).

For the offset from the most stable computed form, the calculation gives 0 meV/atom.

=====

(6)
A plane-wave DFT calculation with PBE-GGA was carried out for a relaxed HfFeGe crystal.

It has space group P-62m (No. 189), with a = 7.3989 Å, b = 7.3989 Å, c = 3.1376 Å, α = 90.00°, β = 90.00° and γ = 120.00°. The inequivalent atoms are Hf at (0.0000, 0.2876, 0.0000), Fe at (0.0000, 0.6221, 0.5000), Ge at (0.0000, 0.0000, 0.5000) and Ge at (0.3333, 0.6667, 0.0000).

Its total DFT energy (no corrections) is -7.72 eV/atom.

=====

(7)
A plane-wave DFT calculation with PBE-GGA was carried out for a relaxed Nb2PdSe4S2 crystal.

It has space group C2/m (No. 12), with a = 13.3201 Å, b = 3.3570 Å, c = 10.7028 Å, α = 90.00°, β = 119.12° and γ = 90.00°. The inequivalent atoms are Nb at (0.1739, 0.0000, 0.2859), Pd at (0.0000, 0.5000, 0.0000), Se at (0.0057, 0.5000, 0.2360), Se at (0.1643, 0.0000, 0.5370) and S at (0.2017, 0.5000, 0.1337).

For the offset from the most stable computed form, the calculation gives 0 meV/atom.

=====

(8)
A plane-wave DFT calculation with PBE-GGA was carried out for a relaxed Ho2Tm2Al crystal.

It has space group Immm (No. 71), with a = 3.5751 Å, b = 7.9330 Å, c = 10.2577 Å, α = 90.00°, β = 90.00° and γ = 90.00°. The inequivalent atoms are Ho at (0.0000, 0.0000, 0.2485), Tm at (0.0000, 0.3007, 0.0000) and Al at (0.0000, 0.5000, 0.5000).

Its total DFT energy (no corrections) is -4.40 eV/atom.